1.
# MgAsW2 (GGA-PBEsol, optimized geometry)
data_MgAsW2
_space_group_name_H-M_alt 'P 1'
_space_group_IT_number 1
_space_group_name_Hall 'P 1'
_cell_length_a 2.741
_cell_length_b 4.423
_cell_length_c 5.366
_cell_angle_alpha 90.00
_cell_angle_beta 90.00
_cell_angle_gamma 90.00
loop_
_atom_site_label
_atom_site_type_symbol
_atom_site_fract_x
_atom_site_fract_y
_atom_site_fract_z
W1 W 0.000 0.000 0.747
W2 W 0.000 0.000 0.253
As1 As 0.500 0.500 0.000
Mg1 Mg 0.500 0.500 0.500
# Spin magnetization, μB/cell: 0.0
# E_tot, eV per atom: -7.95
# Theoretical density, kg/m3: 11917

=====

2.
# MgAsW2 (GGA-PBEsol, optimized geometry)
data_MgAsW2
_space_group_name_H-M_alt 'P 1'
_space_group_IT_number 1
_space_group_name_Hall 'P 1'
_cell_length_a 3.149
_cell_length_b 4.568
_cell_length_c 5.243
_cell_angle_alpha 115.83
_cell_angle_beta 107.48
_cell_angle_gamma 90.00
loop_
_atom_site_label
_atom_site_type_symbol
_atom_site_fract_x
_atom_site_fract_y
_atom_site_fract_z
Mg1 Mg 0.500 0.000 0.000
As1 As 0.000 0.500 0.000
W1 W 0.731 0.731 0.463
W2 W 0.269 0.269 0.537
# Spin magnetization, μB/cell: 0.0
# E_tot, eV per atom: -8.22
# Theoretical density, kg/m3: 12115

=====

no.,energy of formation from the pure elements (eV per atom)
1,0.655
2,0.391